[1]
In3CoO after structural relaxation, computed with GGA+U.

abc: 4.8314 4.8314 4.8314
angles: 90.00 90.00 90.00
Atoms (fractional coordinates):
O: 0.5000 0.5000 0.5000
In: 0.0000 0.5000 0.0000
In: 0.0000 0.0000 0.5000
Co: 0.0000 0.0000 0.0000
In: 0.5000 0.0000 0.0000

Computed properties:
SG = Pm-3m
Density of states at the Fermi level = 3.65 states/eV/f.u.
Excess energy over the best structure of this formula in the dataset = 291 meV per atom
Raw total energy = -3.23 eV/atom

=====

[2]
InCo2O3 after structural relaxation, computed with GGA+U.

abc: 4.5586 6.2898 5.4364
angles: 106.86 114.79 90.00
Atoms (fractional coordinates):
O: 0.4998 0.7500 0.0000
O: 0.1663 0.5834 0.3328
O: 0.8337 0.4166 0.6672
In: 0.9998 0.7500 0.0000
Co: 0.6644 0.0823 0.3288
Co: 0.6643 0.5823 0.3288
O: 0.8335 0.9166 0.6672
In: 0.0002 0.2500 0.0000
O: 0.5002 0.2500 0.0000
Co: 0.3356 0.9177 0.6712
O: 0.1665 0.0834 0.3328
Co: 0.3357 0.4177 0.6712

Computed properties:
SG = Immm
Density of states at the Fermi level = 1.75 states/eV/f.u.
Raw total energy = -5.54 eV/atom

=====

[3]
InCo4O8 after structural relaxation, computed with GGA+U.

abc: 5.7358 5.7359 6.1771
angles: 90.00 117.66 120.00
Atoms (fractional coordinates):
In: 0.0000 0.5000 0.5000
O: 0.4466 0.7233 0.1699
Co: 0.0000 0.0000 0.0000
O: 0.9567 0.2420 0.1987
O: 0.5534 0.2767 0.8301
Co: 0.5000 0.5000 0.0000
Co: 0.5000 0.0000 0.0000
O: 0.9567 0.7146 0.1987
O: 0.0433 0.2854 0.8013
O: 0.5159 0.7580 0.8013
Co: 0.0000 0.5000 0.0000
O: 0.0433 0.7580 0.8013
O: 0.4841 0.2420 0.1987

Computed properties:
SG = R-3m
Density of states at the Fermi level = 3.99 states/eV/f.u.
Raw total energy = -5.79 eV/atom

=====

[4]
InCoO2 after structural relaxation, computed with GGA+U.

abc: 6.1742 6.1742 6.1742
angles: 31.27 31.27 31.27
Atoms (fractional coordinates):
O: 0.1055 0.1055 0.1055
In: 0.5000 0.5000 0.5000
Co: 0.0000 0.0000 0.0000
O: 0.8945 0.8945 0.8945

Computed properties:
SG = R-3m
Density of states at the Fermi level = 1.20 states/eV/f.u.
Raw total energy = -5.43 eV/atom

=====

[5]
InCoO2 after structural relaxation, computed with GGA+U.

abc: 6.6186 6.6186 6.6186
angles: 25.42 25.42 25.42
Atoms (fractional coordinates):
O: 0.1169 0.1169 0.1169
O: 0.8831 0.8831 0.8831
Co: 0.5000 0.5000 0.5000
In: 0.0000 0.0000 0.0000

Computed properties:
SG = R-3m
Density of states at the Fermi level = 0.00 states/eV/f.u.
Raw total energy = -5.31 eV/atom

=====

[6]
InCo3O after structural relaxation, computed with GGA+U.

abc: 4.0101 4.0101 4.0101
angles: 90.00 90.00 90.00
Atoms (fractional coordinates):
Co: 0.5000 0.0000 0.0000
O: 0.0000 0.0000 0.0000
In: 0.5000 0.5000 0.5000
Co: 0.0000 0.5000 0.0000
Co: 0.0000 0.0000 0.5000

Computed properties:
SG = Pm-3m
Density of states at the Fermi level = 2.55 states/eV/f.u.
Excess energy over the best structure of this formula in the dataset = 0 meV per atom
Raw total energy = -4.32 eV/atom

=====

Q: Which of these has the lowest raw total energy?
A: InCo4O8